Density functional theory data (GGA-PBEsol) for a geometry-optimized SnCI2N structure.

Summary:
Formation energy from raw total energies: 84 kJ per mole of atoms

abc: 2.667 7.079 7.079
angles: 90.00 90.00 90.00
Atoms (fractional coordinates):
C (0.000, 0.000, 0.000)
N (0.500, 0.000, 0.000)
I (0.000, 0.000, 0.500)
I (0.000, 0.500, 0.000)
Sn (0.500, 0.500, 0.500)